The following is a GGA+U calculation of an optimized crystal structure of Li2Ni3RhO6, from the Alexandria database.

The space group is C2/m (No. 12) and the conventional cell measures 5.168, 8.915 and 5.169 Å, with angles of 90.00, 109.61 and 90.00 degrees. The inequivalent atoms are Li at (0.000, 0.169, 0.000), Ni at (0.000, 0.000, 0.500), Ni at (0.000, 0.331, 0.500), Rh at (0.000, 0.500, 0.000), O at (0.229, 0.500, 0.750) and O at (0.245, 0.341, 0.257).

As for the uncorrected energy: -5.2585 eV per atom.